# BaAc5Hg6 (PBE, relaxed)
data_BaAc5Hg6
_space_group_name_H-M_alt 'P 1'
_space_group_IT_number 1
_space_group_name_Hall 'P 1'
_cell_length_a 9.106
_cell_length_b 9.106
_cell_length_c 8.138
_cell_angle_alpha 90.00
_cell_angle_beta 90.00
_cell_angle_gamma 143.19
loop_
_atom_site_label
_atom_site_type_symbol
_atom_site_fract_x
_atom_site_fract_y
_atom_site_fract_z
_atom_site_occupancy
Ba1 Ba 0.000 0.000 0.000 1
Ac1 Ac 0.000 0.000 0.500 1
Ac2 Ac 0.335 0.665 0.000 1
Ac3 Ac 0.335 0.665 0.500 1
Ac4 Ac 0.665 0.335 0.000 1
Ac5 Ac 0.665 0.335 0.500 1
Hg1 Hg 0.171 0.829 0.253 1
Hg2 Hg 0.171 0.829 0.747 1
Hg3 Hg 0.500 0.500 0.258 1
Hg4 Hg 0.500 0.500 0.742 1
Hg5 Hg 0.829 0.171 0.253 1
Hg6 Hg 0.829 0.171 0.747 1
# - V (Å³/cell) = 404.3
# - total moment (μB per atom) = 0.033
# - energy relative to the elements (kJ/mol of atoms) = -46.2
# - density (g/cm3) = 10.168